No. 1
A plane-wave DFT calculation with meta-GGA SCAN was carried out for KZr2 at its PBEsol-relaxed geometry.

a b c (Å): 2.9323 18.0372 6.2042
angles (deg): 90.00 90.00 90.00
With the nearest neighbours (Å) after each atom.
Space group Cmcm (No. 63)
Symmetry-distinct sites (fractional):
K (0.0000, 0.1232, 0.2500) x4  2 K 2.93
Zr (0.0000, 0.1988, 0.7500) x4  4 Zr 2.93
Zr (0.0000, 0.4420, 0.2500) x4  4 Zr 2.93

Output
D(E_F) ... 13.9 states/eV per cell
Calculated density ... 4.5 Mg/m³
Size of the total moment ... 1.66 Bohr magnetons per cell
Relative energy among the computed polymorphs ... 484 meV/atom
Formation enthalpy at 0 K ... 2.75 eV/f.u.

***

No. 2
A plane-wave DFT calculation with meta-GGA SCAN was carried out for La at its PBEsol-relaxed geometry.

a b c (Å): 3.6533 3.6533 11.7351
angles (deg): 90.00 90.00 120.00
With the nearest neighbours (Å) after each atom.
Space group P6_3/mmc (No. 194)
Symmetry-distinct sites (fractional):
La (0.0000, 0.0000, 0.0000) x2  12 La 3.61-3.65
La (0.3333, 0.6667, 0.2500) x2  12 La 3.61-3.65

Output
D(E_F) ... 5.1 states/eV per cell
Calculated density ... 6.8 Mg/m³
Size of the total moment ... 0.00 Bohr magnetons per cell
Relative energy among the computed polymorphs ... 0 meV/atom
Formation enthalpy at 0 K ... 0.00 eV/f.u.

***

No. 3
A plane-wave DFT calculation with meta-GGA SCAN was carried out for La at its PBEsol-relaxed geometry.

a b c (Å): 5.7864 5.7864 3.5162
angles (deg): 90.00 90.00 120.00
With the nearest neighbours (Å) after each atom.
Space group P6/mmm (No. 191)
Symmetry-distinct sites (fractional):
La (0.0000, 0.0000, 0.0000) x1  14 La 3.52-3.78
La (0.3333, 0.6667, 0.5000) x2  5 La 3.34-3.52

Output
D(E_F) ... 3.7 states/eV per cell
Calculated density ... 6.8 Mg/m³
Size of the total moment ... 0.00 Bohr magnetons per cell
Relative energy among the computed polymorphs ... 12 meV/atom
Formation enthalpy at 0 K ... 0.01 eV/f.u.

***

No. 4
A plane-wave DFT calculation with meta-GGA SCAN was carried out for La at its PBEsol-relaxed geometry.

a b c (Å): 5.1033 5.1033 5.1033
angles (deg): 90.00 90.00 90.00
With the nearest neighbours (Å) after each atom.
Space group Fm-3m (No. 225)
Symmetry-distinct sites (fractional):
La (0.0000, 0.0000, 0.0000) x4  12 La 3.61

Output
D(E_F) ... 6.8 states/eV per cell
Calculated density ... 6.9 Mg/m³
Size of the total moment ... 0.00 Bohr magnetons per cell
Relative energy among the computed polymorphs ... 18 meV/atom
Formation enthalpy at 0 K ... 0.02 eV/f.u.